No. 1
! YInOs, relaxed, DFT PBE-GGA; values from VASP
! - space group = I4mm (107)
! - crystal system = tetragonal
! - DOS(E_F) (states/eV per atom) = 0.21
! - calculated density (g/cm³) = 10.3
&SYSTEM
  ibrav = 0, nat = 3, ntyp = 3
/
ATOMIC_SPECIES
Y 88.91 Y.upf
In 114.82 In.upf
Os 190.23 Os.upf
CELL_PARAMETERS angstrom
-1.7319 1.7319 5.2870
1.7319 -1.7319 5.2870
1.7319 1.7319 -5.2870
ATOMIC_POSITIONS crystal
Y 0.0000 0.0000 0.0000
In 0.7071 0.7071 0.0000
Os 0.3441 0.3441 0.0000


No. 2
! YInOs, relaxed, DFT PBE-GGA; values from VASP
! - space group = F-43m (216)
! - crystal system = cubic
! - DOS(E_F) (states/eV per atom) = 0.33
! - calculated density (g/cm³) = 9.0
&SYSTEM
  ibrav = 0, nat = 3, ntyp = 3
/
ATOMIC_SPECIES
Y 88.91 Y.upf
In 114.82 In.upf
Os 190.23 Os.upf
CELL_PARAMETERS angstrom
0.0000 3.3072 3.3072
3.3072 0.0000 3.3072
3.3072 3.3072 0.0000
ATOMIC_POSITIONS crystal
Y 0.0000 0.0000 0.0000
In 0.5000 0.5000 0.5000
Os 0.2500 0.2500 0.2500


E_form values, unit eV per atom, following the record order: -0.057 0.051.